#i
# Tb9Pr2Sm (PBE, relaxed)
# magnetization: 0.00 μB per formula unit
data_Tb9Pr2Sm
_chemical_formula_sum 'Tb9 Pr2 Sm1'
_cell_length_a 5.078
_cell_length_b 5.078
_cell_length_c 15.235
_cell_angle_alpha 90.00
_cell_angle_beta 90.00
_cell_angle_gamma 90.00
_symmetry_space_group_name_H-M 'P 4/m m m'
_symmetry_Int_Tables_number 123
_symmetry_space_group_name_Hall '-P 4 2'
loop_
_atom_site_label
_atom_site_fract_x
_atom_site_fract_y
_atom_site_fract_z
_atom_site_occupancy
Tb1 0.000 0.000 0.000 1
Tb2 0.000 0.000 0.333 1
Tb3 0.000 0.500 0.165 1
Tb4 0.000 0.500 0.500 1
Pr1 0.500 0.500 0.333 1
Sm1 0.500 0.500 0.000 1

***

#ii
# Tb9Pr2Sm (PBE, relaxed)
# magnetization: 0.00 μB per formula unit
data_Tb9Pr2Sm
_chemical_formula_sum 'Tb9 Pr2 Sm1'
_cell_length_a 11.3691
_cell_length_b 11.3691
_cell_length_c 3.5158
_cell_angle_alpha 90.00
_cell_angle_beta 90.00
_cell_angle_gamma 120.00
_symmetry_space_group_name_H-M 'P 6/m m m'
_symmetry_Int_Tables_number 191
_symmetry_space_group_name_Hall '-P 6 2'
loop_
_atom_site_label
_atom_site_fract_x
_atom_site_fract_y
_atom_site_fract_z
_atom_site_occupancy
Tb1 0.0000 0.5000 0.0000 1
Tb2 0.1736 0.3472 0.5000 1
Pr1 0.3333 0.6667 0.0000 1
Sm1 0.0000 0.0000 0.0000 1

***

Stability order, top to bottom: #i, #ii

***

#i
# Tb7Pr2Sm3 (PBE, relaxed)
# magnetization: 0.00 μB per formula unit
data_Tb7Pr2Sm3
_chemical_formula_sum 'Tb7 Pr2 Sm3'
_cell_length_a 6.402
_cell_length_b 3.555
_cell_length_c 17.687
_cell_angle_alpha 90.00
_cell_angle_beta 96.22
_cell_angle_gamma 90.00
_symmetry_space_group_name_H-M 'P 1 2/m 1'
_symmetry_Int_Tables_number 10
_symmetry_space_group_name_Hall '-P 2y'
loop_
_atom_site_label
_atom_site_fract_x
_atom_site_fract_y
_atom_site_fract_z
_atom_site_occupancy
Tb1 0.000 0.000 0.000 1
Tb2 0.227 0.500 0.165 1
Tb3 0.256 0.500 0.500 1
Tb4 0.274 0.000 0.837 1
Pr1 0.056 0.500 0.673 1
Sm1 0.453 0.000 0.341 1
Sm2 0.500 0.500 0.000 1

***

#ii
# Tb7Pr2Sm3 (PBE, relaxed)
# magnetization: 0.00 μB per formula unit
data_Tb7Pr2Sm3
_chemical_formula_sum 'Tb7 Pr2 Sm3'
_cell_length_a 5.873
_cell_length_b 3.606
_cell_length_c 18.993
_cell_angle_alpha 90.00
_cell_angle_beta 93.29
_cell_angle_gamma 90.00
_symmetry_space_group_name_H-M 'P 1 2/m 1'
_symmetry_Int_Tables_number 10
_symmetry_space_group_name_Hall '-P 2y'
loop_
_atom_site_label
_atom_site_fract_x
_atom_site_fract_y
_atom_site_fract_z
_atom_site_occupancy
Tb1 0.000 0.000 0.000 1
Tb2 0.189 0.500 0.173 1
Tb3 0.258 0.500 0.538 1
Tb4 0.313 0.000 0.858 1
Pr1 0.290 0.500 0.707 1
Sm1 0.222 0.000 0.369 1
Sm2 0.500 0.500 0.000 1

***

Stability order, top to bottom: #i, #ii

***

#i
# Tb4Pr2Sm5 (PBE, relaxed)
# magnetization: 0.00 μB per formula unit
data_Tb4Pr2Sm5
_chemical_formula_sum 'Tb8 Pr4 Sm10'
_cell_length_a 24.216
_cell_length_b 3.488
_cell_length_c 8.874
_cell_angle_alpha 90.00
_cell_angle_beta 96.66
_cell_angle_gamma 90.00
_symmetry_space_group_name_H-M 'C 1 2/m 1'
_symmetry_Int_Tables_number 12
_symmetry_space_group_name_Hall '-C 2y'
loop_
_atom_site_label
_atom_site_fract_x
_atom_site_fract_y
_atom_site_fract_z
_atom_site_occupancy
Tb1 0.046 0.000 0.362 1
Tb2 0.177 0.500 0.472 1
Pr1 0.092 0.000 0.736 1
Sm1 0.000 0.500 0.000 1
Sm2 0.141 0.000 0.121 1
Sm3 0.233 0.000 0.824 1

***

#ii
# Tb4Pr2Sm5 (PBE, relaxed)
# magnetization: 0.00 μB per formula unit
data_Tb4Pr2Sm5
_chemical_formula_sum 'Tb8 Pr4 Sm10'
_cell_length_a 3.542
_cell_length_b 9.197
_cell_length_c 23.577
_cell_angle_alpha 90.00
_cell_angle_beta 90.00
_cell_angle_gamma 90.00
_symmetry_space_group_name_H-M 'I m m m'
_symmetry_Int_Tables_number 71
_symmetry_space_group_name_Hall '-I 2 2'
loop_
_atom_site_label
_atom_site_fract_x
_atom_site_fract_y
_atom_site_fract_z
_atom_site_occupancy
Tb1 0.000 0.000 0.097 1
Tb2 0.000 0.310 0.500 1
Pr1 0.000 0.000 0.232 1
Sm1 0.000 0.196 0.357 1
Sm2 0.000 0.500 0.000 1

***

Stability order, top to bottom: #i, #ii